ZnAgCl2: single point on PBEsol structure, SCAN.

The structure in CIF format:
```
data_ZnAgCl2
_chemical_formula_sum 'Zn1 Ag1 Cl2'
_symmetry_space_group_name_H-M 'P 1'
_symmetry_Int_Tables_number 1
_cell_length_a 3.8628
_cell_length_b 3.8690
_cell_length_c 6.5577
_cell_angle_alpha 107.19
_cell_angle_beta 90.00
_cell_angle_gamma 119.95
loop_
_symmetry_equiv_pos_as_xyz
'x,y,z'
loop_
_atom_site_label
_atom_site_type_symbol
_atom_site_fract_x
_atom_site_fract_y
_atom_site_fract_z
Zn1 Zn 0.5000 0.0000 0.0000
Cl1 Cl 0.7507 0.5015 0.7515
Cl2 Cl 0.2493 0.4985 0.2485
Ag1 Ag 0.0000 0.0000 0.5000
```

## Properties
- final energy (eV per atom) = -15.56
- uncorrected formation energy (meV/atom) = -351
- N(E_F) (states/eV per cell) = 1.8
- offset from the most stable computed form (meV/atom) = 44.7

Ca2OsPb: single point on PBEsol structure, SCAN.

The structure in CIF format:
```
data_Ca2OsPb
_chemical_formula_sum 'Ca2 Os1 Pb1'
_symmetry_space_group_name_H-M 'P 1'
_symmetry_Int_Tables_number 1
_cell_length_a 4.8051
_cell_length_b 4.8051
_cell_length_c 5.6381
_cell_angle_alpha 64.78
_cell_angle_beta 64.78
_cell_angle_gamma 60.00
loop_
_symmetry_equiv_pos_as_xyz
'x,y,z'
loop_
_atom_site_label
_atom_site_type_symbol
_atom_site_fract_x
_atom_site_fract_y
_atom_site_fract_z
Os1 Os 0.5471 0.5471 0.3587
Ca1 Ca 0.9767 0.9767 0.0698
Ca2 Ca 0.7629 0.7629 0.7113
Pb1 Pb 0.2133 0.2133 0.3602
```

## Properties
- final energy (eV per atom) = -41.66
- N(E_F) (states/eV per cell) = 2.9
- formation energy (eV/atom) = 0.08

In3AgPd: single point on PBEsol structure, SCAN.

The structure in CIF format:
```
data_In3AgPd
_chemical_formula_sum 'In3 Ag1 Pd1'
_symmetry_space_group_name_H-M 'P 1'
_symmetry_Int_Tables_number 1
_cell_length_a 5.0868
_cell_length_b 5.0868
_cell_length_c 5.0868
_cell_angle_alpha 90.00
_cell_angle_beta 90.00
_cell_angle_gamma 90.00
loop_
_symmetry_equiv_pos_as_xyz
'x,y,z'
loop_
_atom_site_label
_atom_site_type_symbol
_atom_site_fract_x
_atom_site_fract_y
_atom_site_fract_z
Pd1 Pd 0.5000 0.5000 0.5000
In1 In 0.0000 0.5000 0.0000
In2 In 0.5000 0.0000 0.0000
Ag1 Ag 0.0000 0.0000 0.0000
In3 In 0.0000 0.0000 0.5000
```

## Properties
- final energy (eV per atom) = -32.33
- N(E_F) (states/eV per cell) = 1.4
- formation energy (eV/atom) = 0.53

Nb2Se3: single point on PBEsol structure, SCAN.

The structure in CIF format:
```
data_Nb2Se3
_chemical_formula_sum 'Nb2 Se3'
_symmetry_space_group_name_H-M 'P 1'
_symmetry_Int_Tables_number 1
_cell_length_a 3.3952
_cell_length_b 3.3952
_cell_length_c 9.8532
_cell_angle_alpha 90.00
_cell_angle_beta 90.00
_cell_angle_gamma 120.00
loop_
_symmetry_equiv_pos_as_xyz
'x,y,z'
loop_
_atom_site_label
_atom_site_type_symbol
_atom_site_fract_x
_atom_site_fract_y
_atom_site_fract_z
Se1 Se 0.3333 0.6667 0.3710
Nb1 Nb 0.0000 0.0000 0.5538
Se2 Se 0.3333 0.6667 0.0269
Se3 Se 0.6667 0.3333 0.7247
Nb2 Nb 0.0000 0.0000 0.1986
```

## Properties
- final energy (eV per atom) = -26.16
- uncorrected formation energy (meV/atom) = -859
- N(E_F) (states/eV per cell) = 2.0

Tl3CdMo: single point on PBEsol structure, SCAN.

The structure in CIF format:
```
data_Tl3CdMo
_chemical_formula_sum 'Tl3 Cd1 Mo1'
_symmetry_space_group_name_H-M 'P 1'
_symmetry_Int_Tables_number 1
_cell_length_a 5.4147
_cell_length_b 5.4147
_cell_length_c 5.4147
_cell_angle_alpha 90.00
_cell_angle_beta 90.00
_cell_angle_gamma 90.00
loop_
_symmetry_equiv_pos_as_xyz
'x,y,z'
loop_
_atom_site_label
_atom_site_type_symbol
_atom_site_fract_x
_atom_site_fract_y
_atom_site_fract_z
Tl1 Tl 0.0000 0.5000 0.0000
Cd1 Cd 0.0000 0.0000 0.0000
Tl2 Tl 0.0000 0.0000 0.5000
Mo1 Mo 0.5000 0.5000 0.5000
Tl3 Tl 0.5000 0.0000 0.0000
```

## Properties
- final energy (eV per atom) = -55.35
- N(E_F) (states/eV per cell) = 2.6
- formation energy (eV/atom) = 1.13

LiCoNi: single point on PBEsol structure, SCAN.

The structure in CIF format:
```
data_LiCoNi
_chemical_formula_sum 'Li1 Co1 Ni1'
_symmetry_space_group_name_H-M 'P 1'
_symmetry_Int_Tables_number 1
_cell_length_a 2.3980
_cell_length_b 3.6263
_cell_length_c 4.2539
_cell_angle_alpha 115.23
_cell_angle_beta 106.37
_cell_angle_gamma 90.00
loop_
_symmetry_equiv_pos_as_xyz
'x,y,z'
loop_
_atom_site_label
_atom_site_type_symbol
_atom_site_fract_x
_atom_site_fract_y
_atom_site_fract_z
Li1 Li 0.6676 0.6676 0.3352
Ni1 Ni 0.3407 0.3407 0.6814
Co1 Co 0.9917 0.9917 0.9835
```

## Properties
- final energy (eV per atom) = -11.83
- N(E_F) (states/eV per cell) = 2.2
- formation energy (eV/atom) = 0.13
- offset from the most stable computed form (meV/atom) = 0.0